Here is crystalline CrSbTe2Ru at its relaxed geometry from the Alexandria database. Energies are from PBE-GGA.

Unit cell a=5.092 b=5.092 c=4.977 alpha=90.00 beta=90.00 gamma=90.00
Positions (direct):
Cr: 0.000 0.000 0.000
Sb: 0.000 0.000 0.500
Te: 0.000 0.500 0.000
Te: 0.500 0.000 0.000
Ru: 0.500 0.500 0.500

- raw total energy (eV per formula unit) = -24.1
- V (Å³/atom) = 25.81
- SG = P4/mmm, No. 123
- DOS at the Fermi energy (states/eV per atom) = 1.230
- formation energy without anion corrections (eV/atom) = 1.043

Here is crystalline SbPb2Au3 at its relaxed geometry from the Alexandria database. Energies are from PBE-GGA.

Unit cell a=9.118 b=9.118 c=7.123 alpha=112.66 beta=112.66 gamma=35.28
Positions (direct):
Sb: 0.114 0.886 0.750
Sb: 0.886 0.114 0.250
Pb: 0.151 0.486 0.259
Pb: 0.486 0.151 0.759
Pb: 0.514 0.849 0.241
Pb: 0.849 0.514 0.741
Au: 0.027 0.713 0.936
Au: 0.287 0.973 0.564
Au: 0.500 0.500 0.000
Au: 0.500 0.500 0.500
Au: 0.713 0.027 0.436
Au: 0.973 0.287 0.064

- raw total energy (eV per formula unit) = -21.5
- V (Å³/atom) = 26.07
- SG = C2/c, No. 15
- DOS at the Fermi energy (states/eV per atom) = 0.493
- formation energy without anion corrections (eV/atom) = -0.018

Here is crystalline NaRe3Pb at its relaxed geometry from the Alexandria database. Energies are from PBE-GGA.

Unit cell a=4.628 b=4.628 c=4.628 alpha=90.00 beta=90.00 gamma=90.00
Positions (direct):
Na: 0.000 0.000 0.000
Re: 0.000 0.000 0.500
Re: 0.000 0.500 0.000
Re: 0.500 0.000 0.000
Pb: 0.500 0.500 0.500

- raw total energy (eV per formula unit) = -27.5
- V (Å³/atom) = 19.83
- SG = Pm-3m, No. 221
- DOS at the Fermi energy (states/eV per atom) = 0.567
- ΔE to the lowest computed polymorph (eV per formula unit) = 0.00

Here is crystalline Sc2Al4Os at its relaxed geometry from the Alexandria database. Energies are from PBE-GGA.

Unit cell a=7.756 b=7.756 c=7.756 alpha=145.32 beta=145.32 gamma=49.86
Positions (direct):
Sc: 0.130 0.130 0.000
Sc: 0.870 0.870 0.000
Al: 0.000 0.500 0.500
Al: 0.324 0.324 0.000
Al: 0.500 0.000 0.500
Al: 0.676 0.676 0.000
Os: 0.500 0.500 0.000

- raw total energy (eV per formula unit) = -38.8
- V (Å³/atom) = 21.47
- SG = I4/mmm, No. 139
- DOS at the Fermi energy (states/eV per atom) = 0.559

Here is crystalline SiRu2Br at its relaxed geometry from the Alexandria database. Energies are from PBE-GGA.

Unit cell a=5.248 b=5.248 c=5.248 alpha=139.27 beta=139.27 gamma=58.96
Positions (direct):
Si: 0.000 0.000 0.000
Ru: 0.500 0.500 0.000
Ru: 0.750 0.250 0.500
Br: 0.250 0.750 0.500

- raw total energy (eV per formula unit) = -22.8
- V (Å³/atom) = 15.24
- SG = I-4m2, No. 119
- DOS at the Fermi energy (states/eV per atom) = 1.085
- formation energy without anion corrections (eV/atom) = 0.708
- ΔE to the lowest computed polymorph (eV per formula unit) = 2.57

Here is crystalline Ba5GaAu2 at its relaxed geometry from the Alexandria database. Energies are from PBE-GGA.

Unit cell a=10.207 b=10.207 c=10.207 alpha=128.11 beta=128.11 gamma=76.45
Positions (direct):
Ba: 0.000 0.000 0.000
Ba: 0.030 0.530 0.843
Ba: 0.187 0.030 0.500
Ba: 0.313 0.813 0.843
Ba: 0.470 0.313 0.500
Ba: 0.500 0.500 0.000
Ba: 0.530 0.687 0.500
Ba: 0.687 0.187 0.157
Ba: 0.813 0.970 0.500
Ba: 0.970 0.470 0.157
Ga: 0.250 0.250 0.000
Ga: 0.750 0.750 0.000
Au: 0.122 0.378 0.500
Au: 0.378 0.878 0.256
Au: 0.622 0.122 0.744
Au: 0.878 0.622 0.500

- raw total energy (eV per formula unit) = -22.8
- V (Å³/atom) = 39.98
- SG = I4/mcm, No. 140
- DOS at the Fermi energy (states/eV per atom) = 0.866

Here is crystalline UMnZn at its relaxed geometry from the Alexandria database. Energies are from PBE-GGA.

Unit cell a=6.063 b=6.063 c=6.063 alpha=152.04 beta=152.04 gamma=39.95
Positions (direct):
U: 0.000 0.000 0.000
Mn: 0.348 0.348 0.000
Zn: 0.709 0.709 0.000

- raw total energy (eV per formula unit) = -21.4
- V (Å³/atom) = 16.30
- SG = I4mm, No. 107
- DOS at the Fermi energy (states/eV per atom) = 1.221
- ΔE to the lowest computed polymorph (eV per formula unit) = 0.57

Here is crystalline ErTlO3 at its relaxed geometry from the Alexandria database. Energies are from PBE-GGA.

Unit cell a=4.421 b=4.421 c=4.421 alpha=90.00 beta=90.00 gamma=90.00
Positions (direct):
Er: 0.000 0.000 0.000
Tl: 0.500 0.500 0.500
O: 0.000 0.000 0.500
O: 0.000 0.500 0.000
O: 0.500 0.000 0.000

- raw total energy (eV per formula unit) = -29.7
- V (Å³/atom) = 17.28
- SG = Pm-3m, No. 221
- DOS at the Fermi energy (states/eV per atom) = 1.103
- formation energy without anion corrections (eV/atom) = -1.577